This record from Alexandria via LeMat-Bulk describes an optimized crystal structure of LiNiSb2I. The functional is PBE. Values from VASP.

Geometry as Quantum ESPRESSO input:
```
&SYSTEM
  ibrav = 0, nat = 5, ntyp = 4
/
ATOMIC_SPECIES
Sb 121.76 Sb.upf
Ni 58.69 Ni.upf
Li 6.94 Li.upf
I 126.90 I.upf
CELL_PARAMETERS angstrom
-0.7654 -4.4271 2.0175
4.8394 -0.4832 0.7757
-0.5329 2.2445 4.7230
ATOMIC_POSITIONS crystal
Sb 0.0000 0.5000 0.0000
Sb 0.5000 0.0000 0.0000
Ni 0.5000 0.5000 0.5000
Li 0.0000 0.0000 0.0000
I 0.0000 0.0000 0.5000
```

## Properties
D(E_F) = 5.2 states/eV per cell
Space group = P4/mmm, No. 123
Total DFT energy (no corrections) = -13.76 eV per cell
Raw formation energy = 3.73 eV per formula unit

***

This record from Alexandria via LeMat-Bulk describes an optimized crystal structure of CdInNi2. The functional is PBE. Values from VASP.

Geometry as Quantum ESPRESSO input:
```
&SYSTEM
  ibrav = 0, nat = 4, ntyp = 3
/
ATOMIC_SPECIES
In 114.82 In.upf
Ni 58.69 Ni.upf
Cd 112.41 Cd.upf
CELL_PARAMETERS angstrom
3.0642 0.0000 0.0000
0.0000 3.0617 0.0000
0.0000 0.0000 6.9835
ATOMIC_POSITIONS crystal
In 0.5000 0.5000 0.8075
Ni 0.5000 0.5000 0.2121
Ni 0.0000 0.0000 0.0343
Cd 0.0000 0.0000 0.4461
```

## Properties
Formation energy = 0.073 eV per atom
D(E_F) = 4.4 states/eV per cell
Space group = P4mm, No. 99
Total DFT energy (no corrections) = -14.92 eV per cell

***

This record from Alexandria via LeMat-Bulk describes an optimized crystal structure of AcSm2Y3. The functional is PBE. Values from VASP.

Geometry as Quantum ESPRESSO input:
```
&SYSTEM
  ibrav = 0, nat = 12, ntyp = 3
/
ATOMIC_SPECIES
Sm 150.36 Sm.upf
Y 88.91 Y.upf
Ac 227.00 Ac.upf
CELL_PARAMETERS angstrom
6.7905 0.4999 -0.5055
-1.1537 6.7104 -0.5055
-0.5127 -0.6559 9.1275
ATOMIC_POSITIONS crystal
Sm 0.3759 0.8701 0.6264
Sm 0.6241 0.1299 0.3736
Sm 0.1299 0.6241 0.8736
Sm 0.8701 0.3759 0.1264
Y 0.6548 0.8290 0.9992
Y 0.4252 0.5748 0.2500
Y 0.5748 0.4252 0.7500
Y 0.3452 0.1710 0.0008
Y 0.8290 0.6548 0.4992
Y 0.1710 0.3452 0.5008
Ac 0.9142 0.0858 0.7500
Ac 0.0858 0.9142 0.2500
```

## Properties
Formation energy = 0.095 eV per atom
D(E_F) = 19.6 states/eV per cell
Space group = C2/c, No. 15
Total DFT energy (no corrections) = -64.73 eV per cell

***

This record from Alexandria via LeMat-Bulk describes an optimized crystal structure of Cs5H3Cl2. The functional is PBE. Values from VASP.

Geometry as Quantum ESPRESSO input:
```
&SYSTEM
  ibrav = 0, nat = 10, ntyp = 3
/
ATOMIC_SPECIES
H 1.01 H.upf
Cs 132.91 Cs.upf
Cl 35.45 Cl.upf
CELL_PARAMETERS angstrom
4.5782 0.0000 1.0159
1.8711 8.0509 2.3917
0.1745 -0.9233 10.0374
ATOMIC_POSITIONS crystal
H 0.1139 0.6448 0.1273
H 0.5000 0.5000 0.5000
H 0.8861 0.3552 0.8727
Cs 0.6964 0.4190 0.1881
Cs 0.0000 0.0000 0.0000
Cs 0.9101 0.7680 0.4119
Cs 0.3036 0.5810 0.8119
Cs 0.0899 0.2320 0.5881
Cl 0.3305 0.0738 0.2653
Cl 0.6695 0.9262 0.7347
```

## Properties
D(E_F) = 0.0 states/eV per cell
Space group = C2/m, No. 12
Total DFT energy (no corrections) = -26.75 eV per cell